Record 1
Computed, not measured: a PBEsol-optimized structure of AlCo2Hg at the meta-GGA SCAN level of DFT. Values from VASP.

Values from the calculation:
The calculation puts the excess energy over the best structure of this formula in the dataset at 16 meV per atom. As for the energy relative to the elements: 0.095 eV per atom. The calculation puts the volume at 13.4 Å³/atom. Its total energy is -110.1 eV/cell.

The structure in Quantum ESPRESSO input format:
```
&SYSTEM
  ibrav = 0, nat = 4, ntyp = 3
/
ATOMIC_SPECIES
Co 58.93 Co.upf
Hg 200.59 Hg.upf
Al 26.98 Al.upf
CELL_PARAMETERS angstrom
-0.9608 -3.5327 -0.6761
-0.0184 -0.6950 3.6574
-3.2352 3.0948 -1.3230
ATOMIC_POSITIONS angstrom
Co -2.3428 -1.2758 -0.2542
Co 0.0000 0.0000 0.0000
Hg -0.4896 -2.1138 1.4907
Al -1.8716 0.1430 1.9126
```

---

Record 2
Computed, not measured: a PBEsol-optimized structure of AlCoHg2 at the meta-GGA SCAN level of DFT. Values from VASP.

Values from the calculation:
The calculation puts the excess energy over the best structure of this formula in the dataset at 166 meV per atom. As for the energy relative to the elements: 0.362 eV per atom. The calculation puts the volume at 16.2 Å³/atom. Its total energy is -159.9 eV/cell.

The structure in Quantum ESPRESSO input format:
```
&SYSTEM
  ibrav = 0, nat = 4, ntyp = 3
/
ATOMIC_SPECIES
Hg 200.59 Hg.upf
Co 58.93 Co.upf
Al 26.98 Al.upf
CELL_PARAMETERS angstrom
-0.6107 0.0727 -3.9231
2.3794 -3.1536 -0.4289
-4.1033 -0.9502 2.6309
ATOMIC_POSITIONS angstrom
Hg -0.7247 -2.7854 -1.9486
Hg -1.6099 -1.2456 0.2275
Co 1.1897 -1.5768 -0.2144
Al -0.3054 0.0364 -1.9616
```

---

Record 3
Computed, not measured: a PBEsol-optimized structure of AlCo2Hg at the meta-GGA SCAN level of DFT. Values from VASP.

Values from the calculation:
The calculation puts the excess energy over the best structure of this formula in the dataset at 55 meV per atom. As for the energy relative to the elements: 0.134 eV per atom. The calculation puts the volume at 13.1 Å³/atom. Its total energy is -110.0 eV/cell.

The structure in Quantum ESPRESSO input format:
```
&SYSTEM
  ibrav = 0, nat = 4, ntyp = 3
/
ATOMIC_SPECIES
Hg 200.59 Hg.upf
Co 58.93 Co.upf
Al 26.98 Al.upf
CELL_PARAMETERS angstrom
-1.6033 -3.8837 0.0847
2.1655 -3.2036 -1.6458
1.6822 -2.9133 2.5188
ATOMIC_POSITIONS angstrom
Hg 0.0000 0.0000 0.0000
Co 0.5611 -2.5002 0.2394
Co 1.6833 -7.5005 0.7183
Al 1.1222 -5.0003 0.4789
```